Run w
This record from Alexandria via LeMat-Bulk describes a relaxed HoZr4In5 crystal. The functional is PBE.

a = 3.206 Å, b = 3.206 Å, c = 22.228 Å
α = 90.00°, β = 90.00°, γ = 90.00°
Site moments in Bohr magnetons follow the coordinates.
Atoms (fractional coordinates):
Ho 0.000 0.000 0.000  0.32
Zr 0.000 0.000 0.206  0.00
Zr 0.000 0.000 0.402  0.00
Zr 0.000 0.000 0.598  0.00
Zr 0.000 0.000 0.794  0.00
In 0.500 0.500 0.107  0.00
In 0.500 0.500 0.304  0.00
In 0.500 0.500 0.500  0.00
In 0.500 0.500 0.696  0.00
In 0.500 0.500 0.893  0.00

---

Run x
This record from Alexandria via LeMat-Bulk describes a relaxed HoZr4In5 crystal. The functional is PBE.

a = 7.417 Å, b = 8.857 Å, c = 7.513 Å
α = 90.00°, β = 90.00°, γ = 90.00°
Atoms (fractional coordinates):
Ho 0.556 0.000 0.000
Ho 0.444 0.500 0.500
Zr 0.954 0.000 0.680
Zr 0.008 0.820 0.000
Zr 0.008 0.180 0.000
Zr 0.954 0.000 0.320
Zr 0.046 0.500 0.180
Zr 0.992 0.680 0.500
Zr 0.992 0.320 0.500
Zr 0.046 0.500 0.820
In 0.308 0.798 0.717
In 0.308 0.202 0.717
In 0.413 0.500 0.000
In 0.308 0.798 0.283
In 0.308 0.202 0.283
In 0.692 0.702 0.217
In 0.692 0.298 0.217
In 0.587 0.000 0.500
In 0.692 0.298 0.783
In 0.692 0.702 0.783

---

Most favorable first, least favorable last: run w, run x

---

Run w
This record from Alexandria via LeMat-Bulk describes a relaxed Ho3Ir2 crystal. The functional is PBE.

a = 4.739 Å, b = 7.654 Å, c = 10.174 Å
α = 91.35°, β = 90.00°, γ = 108.03°
Atoms (fractional coordinates):
Ho 0.832 0.665 0.001
Ho 0.168 0.335 0.999
Ho 0.834 0.668 0.332
Ho 0.166 0.332 0.668
Ho 0.166 0.333 0.333
Ho 0.834 0.667 0.667
Ho 0.499 0.998 0.334
Ho 0.501 0.002 0.666
Ho 0.500 0.000 0.000
Ir 0.665 0.331 0.501
Ir 0.335 0.669 0.499
Ir 0.668 0.336 0.165
Ir 0.332 0.664 0.835
Ir 0.999 0.997 0.168
Ir 0.001 0.003 0.832

---

Run x
This record from Alexandria via LeMat-Bulk describes a relaxed Ho3Ir2 crystal. The functional is PBE.

a = 11.193 Å, b = 11.193 Å, c = 14.840 Å
α = 112.16°, β = 112.16°, γ = 90.00°
Atoms (fractional coordinates):
Ho 0.367 0.498 0.144
Ho 0.777 0.646 0.144
Ho 0.867 0.146 0.144
Ho 0.277 0.998 0.144
Ho 0.646 0.367 0.144
Ho 0.498 0.777 0.144
Ho 0.998 0.867 0.144
Ho 0.146 0.277 0.144
Ho 0.633 0.502 0.856
Ho 0.223 0.354 0.856
Ho 0.133 0.854 0.856
Ho 0.723 0.002 0.856
Ho 0.354 0.633 0.856
Ho 0.502 0.223 0.856
Ho 0.002 0.133 0.856
Ho 0.854 0.723 0.856
Ho 0.615 0.483 0.388
Ho 0.773 0.905 0.388
Ho 0.115 0.405 0.388
Ho 0.273 0.983 0.388
Ho 0.905 0.615 0.388
Ho 0.483 0.773 0.388
Ho 0.983 0.115 0.388
Ho 0.405 0.273 0.388
Ho 0.385 0.517 0.612
Ho 0.227 0.095 0.612
Ho 0.885 0.595 0.612
Ho 0.727 0.017 0.612
Ho 0.095 0.385 0.612
Ho 0.517 0.227 0.612
Ho 0.017 0.885 0.612
Ho 0.595 0.727 0.612
Ho 0.150 0.650 0.000
Ho 0.850 0.350 0.000
Ho 0.650 0.850 0.000
Ho 0.350 0.150 0.000
Ho 0.613 0.113 0.227
Ho 0.113 0.613 0.227
Ho 0.387 0.887 0.773
Ho 0.887 0.387 0.773
Ho 0.750 0.250 0.500
Ho 0.250 0.750 0.500
Ir 0.286 0.786 0.213
Ir 0.926 0.426 0.213
Ir 0.786 0.926 0.213
Ir 0.426 0.286 0.213
Ir 0.714 0.214 0.787
Ir 0.074 0.574 0.787
Ir 0.214 0.074 0.787
Ir 0.574 0.714 0.787
Ir 0.535 0.035 0.377
Ir 0.842 0.342 0.377
Ir 0.035 0.842 0.377
Ir 0.342 0.535 0.377
Ir 0.465 0.965 0.623
Ir 0.158 0.658 0.623
Ir 0.965 0.158 0.623
Ir 0.658 0.465 0.623
Ir 0.403 0.903 0.000
Ir 0.597 0.097 0.000
Ir 0.903 0.597 0.000
Ir 0.097 0.403 0.000
Ir 0.633 0.633 0.267
Ir 0.133 0.133 0.267
Ir 0.367 0.367 0.733
Ir 0.867 0.867 0.733
Ir 0.500 0.500 0.000
Ir 0.000 0.000 0.000
Ir 0.750 0.750 0.500
Ir 0.250 0.250 0.500

---

Most favorable first, least favorable last: run x, run w

---

Run w
This record from Alexandria via LeMat-Bulk describes a relaxed Ho4Ir crystal. The functional is PBE.

a = 7.643 Å, b = 7.643 Å, c = 7.643 Å
α = 60.00°, β = 60.00°, γ = 60.00°
Atoms (fractional coordinates):
Ho 0.388 0.388 0.388
Ho 0.835 0.388 0.388
Ho 0.388 0.388 0.835
Ho 0.415 0.862 0.862
Ho 0.862 0.862 0.862
Ho 0.388 0.835 0.388
Ho 0.862 0.862 0.415
Ho 0.862 0.415 0.862
Ir 0.000 0.000 0.000
Ir 0.250 0.250 0.250

---

Run x
This record from Alexandria via LeMat-Bulk describes a relaxed Ho4Ir crystal. The functional is PBE.

a = 5.400 Å, b = 5.400 Å, c = 5.400 Å
α = 90.00°, β = 90.00°, γ = 90.00°
Atoms (fractional coordinates):
Ir 0.500 0.500 0.500
Ho 0.000 0.000 0.000
Ho 0.500 0.000 0.500
Ho 0.000 0.500 0.500
Ho 0.500 0.500 0.000

---

Most favorable first, least favorable last: run x, run w

---

Run w
This record from Alexandria via LeMat-Bulk describes a relaxed Ho5Ir3 crystal. The functional is PBE.

a = 10.845 Å, b = 10.845 Å, c = 6.349 Å
α = 90.00°, β = 90.00°, γ = 90.00°
Atoms (fractional coordinates):
Ho 0.292 0.088 0.379
Ho 0.292 0.912 0.879
Ho 0.708 0.088 0.879
Ho 0.708 0.912 0.379
Ho 0.588 0.792 0.879
Ho 0.588 0.208 0.379
Ho 0.412 0.792 0.379
Ho 0.412 0.208 0.879
Ho 0.208 0.412 0.621
Ho 0.208 0.588 0.121
Ho 0.792 0.412 0.121
Ho 0.792 0.588 0.621
Ho 0.912 0.708 0.121
Ho 0.912 0.292 0.621
Ho 0.088 0.708 0.621
Ho 0.088 0.292 0.121
Ho 0.000 0.000 0.500
Ho 0.000 0.000 0.000
Ho 0.500 0.500 0.000
Ho 0.500 0.500 0.500
Ir 0.846 0.154 0.250
Ir 0.846 0.846 0.750
Ir 0.154 0.154 0.750
Ir 0.154 0.846 0.250
Ir 0.654 0.346 0.750
Ir 0.654 0.654 0.250
Ir 0.346 0.346 0.250
Ir 0.346 0.654 0.750
Ir 0.500 0.000 0.125
Ir 0.500 0.000 0.625
Ir 0.000 0.500 0.875
Ir 0.000 0.500 0.375

---

Run x
This record from Alexandria via LeMat-Bulk describes a relaxed Ho5Ir3 crystal. The functional is PBE.

a = 8.297 Å, b = 8.297 Å, c = 6.190 Å
α = 90.00°, β = 90.00°, γ = 120.00°
Atoms (fractional coordinates):
Ho 0.667 0.333 0.500
Ho 0.333 0.667 0.500
Ho 0.333 0.667 0.000
Ho 0.667 0.333 0.000
Ho 0.261 0.261 0.750
Ho 0.000 0.739 0.750
Ho 0.739 0.000 0.750
Ho 0.739 0.739 0.250
Ho 0.000 0.261 0.250
Ho 0.261 0.000 0.250
Ir 0.611 0.611 0.750
Ir 0.000 0.389 0.750
Ir 0.389 0.000 0.750
Ir 0.389 0.389 0.250
Ir 0.000 0.611 0.250
Ir 0.611 0.000 0.250

---

Most favorable first, least favorable last: run w, run x

---

Run w
This record from Alexandria via LeMat-Bulk describes a relaxed LiHoIr crystal. The functional is PBE.

a = 3.486 Å, b = 3.486 Å, c = 5.160 Å
α = 109.74°, β = 109.74°, γ = 90.00°
Atoms (fractional coordinates):
Ir 0.626 0.626 0.253
Ho 0.963 0.963 0.926
Li 0.261 0.261 0.521

---

Run x
This record from Alexandria via LeMat-Bulk describes a relaxed LiHoIr crystal. The functional is PBE.

a = 10.072 Å, b = 10.072 Å, c = 3.052 Å
α = 90.00°, β = 90.00°, γ = 156.12°
Atoms (fractional coordinates):
Ir 0.446 0.554 0.750
Ir 0.554 0.446 0.250
Ho 0.315 0.685 0.750
Ho 0.685 0.315 0.250
Li 0.934 0.066 0.250
Li 0.066 0.934 0.750

---

Most favorable first, least favorable last: run w, run x

---

Run w
This record from Alexandria via LeMat-Bulk describes a relaxed LiHoIr crystal. The functional is PBE.

a = 3.281 Å, b = 4.376 Å, c = 4.376 Å
α = 120.00°, β = 90.00°, γ = 90.00°
Atoms (fractional coordinates):
Ir 0.167 0.000 0.000
Ho 0.667 0.333 0.667
Li 0.166 0.667 0.333

---

Run x
This record from Alexandria via LeMat-Bulk describes a relaxed LiHoIr crystal. The functional is PBE.

a = 5.465 Å, b = 4.434 Å, c = 4.573 Å
α = 89.99°, β = 89.99°, γ = 35.81°
Atoms (fractional coordinates):
Li 0.000 0.500 0.000
Ho 0.000 0.000 0.500
Ir 0.500 0.500 0.000

---

Most favorable first, least favorable last: run w, run x